1.
Compound: MnMo2Se
Source: the Alexandria database
Functional: PBE-GGA
Structure: optimized geometry

Calculated values
M_tot ... 2.3 Bohr magnetons per cell
Uncorrected formation energy ... 0.255 eV/atom
Fermi-level density of states ... 0.68 states/eV/atom
Space-group type ... No. 12

Cell lengths 4.8345, 4.8345, 4.3647 Å; angles 101.87, 101.87, 38.12 degrees
Last column: nearest neighbours and their distance in Å.
Sites, in units of the cell vectors:
Mn (0.0000, 0.0000, 0.0000)  4 Se 2.69, 6 Mo 2.71-2.78
Mo (0.2500, 0.2500, 0.7623)  4 Mo 2.61-2.78, 3 Mn 2.71-2.78, 3 Se 2.77-2.81
Mo (0.7500, 0.7500, 0.2377)  4 Mo 2.61-2.78, 3 Mn 2.71-2.78, 3 Se 2.77-2.81
Se (0.5000, 0.5000, 0.5000)  4 Mn 2.69, 6 Mo 2.77-2.81

=====

2.
Compound: Mn4MoSe
Source: the Alexandria database
Functional: PBE-GGA
Structure: optimized geometry

Calculated values
M_tot ... 5.4 Bohr magnetons per cell
Uncorrected formation energy ... 0.388 eV/atom
Fermi-level density of states ... 1.57 states/eV/atom
Space-group type ... No. 216

Cell lengths 4.8040, 4.8040, 4.8040 Å; angles 60.00, 60.00, 60.00 degrees
Last column: nearest neighbours and their distance in Å.
Sites, in units of the cell vectors:
Mn (0.3759, 0.3759, 0.3759)  6 Mn 2.38-2.42
Mn (0.3759, 0.3759, 0.8722)  6 Mn 2.38-2.42
Mn (0.3759, 0.8722, 0.3759)  6 Mn 2.38-2.42
Mn (0.8722, 0.3759, 0.3759)  6 Mn 2.38-2.42
Mo (0.7500, 0.7500, 0.7500)  12 Mn 2.81, 4 Se 2.94
Se (0.0000, 0.0000, 0.0000)  12 Mn 2.82, 4 Mo 2.94

=====

3.
Compound: MnMo2Se
Source: the Alexandria database
Functional: PBE-GGA
Structure: optimized geometry

Calculated values
M_tot ... 2.0 Bohr magnetons per cell
Uncorrected formation energy ... 0.202 eV/atom
Fermi-level density of states ... 0.93 states/eV/atom
Space-group type ... No. 123

Cell lengths 4.4352, 4.4352, 3.0049 Å; angles 90.00, 90.00, 90.00 degrees
Last column: nearest neighbours and their distance in Å.
Sites, in units of the cell vectors:
Mn (0.0000, 0.0000, 0.0000)  8 Mo 2.68
Mo (0.0000, 0.5000, 0.5000)  4 Mn 2.68, 4 Se 2.68
Mo (0.5000, 0.0000, 0.5000)  4 Mn 2.68, 4 Se 2.68
Se (0.5000, 0.5000, 0.0000)  8 Mo 2.68

=====

4.
Compound: MnMo2Se
Source: the Alexandria database
Functional: PBE-GGA
Structure: optimized geometry

Calculated values
M_tot ... 0.0 Bohr magnetons per cell
Uncorrected formation energy ... 0.210 eV/atom
Fermi-level density of states ... 0.79 states/eV/atom
Space-group type ... No. 8

Cell lengths 4.7043, 4.7043, 4.5852 Å; angles 105.22, 105.22, 37.07 degrees
Last column: nearest neighbours and their distance in Å.
Sites, in units of the cell vectors:
Mn (0.0000, 0.0000, 0.0000)  5 Mo 2.46-2.73, 2 Se 2.73
Mo (0.5136, 0.5136, 0.5108)  3 Se 2.57, 4 Mn 2.73-2.75
Mo (0.7276, 0.7276, 0.1243)  3 Mn 2.46-2.65, 2 Se 2.67
Se (0.2572, 0.2572, 0.6621)  7 Mo 2.57-2.83, 2 Mn 2.73

=====

5.
Compound: MnMo2Se
Source: the Alexandria database
Functional: PBE-GGA
Structure: optimized geometry

Calculated values
M_tot ... 0.0 Bohr magnetons per cell
Uncorrected formation energy ... 0.319 eV/atom
Fermi-level density of states ... 0.70 states/eV/atom
Space-group type ... No. 160

Cell lengths 8.1639, 8.1639, 8.1639 Å; angles 21.27, 21.27, 21.27 degrees
Last column: nearest neighbours and their distance in Å.
Sites, in units of the cell vectors:
Mn (0.0000, 0.0000, 0.0000)  3 Mo 2.39
Mo (0.2649, 0.2649, 0.2649)  3 Mn 2.39
Mo (0.5023, 0.5023, 0.5023)  3 Se 2.57
Se (0.7567, 0.7567, 0.7567)  3 Mo 2.57, 3 Mn 2.77

=====

6.
Compound: MnMo2Se
Source: the Alexandria database
Functional: PBE-GGA
Structure: optimized geometry

Calculated values
M_tot ... 1.7 Bohr magnetons per cell
Uncorrected formation energy ... 0.338 eV/atom
Fermi-level density of states ... 1.16 states/eV/atom
Space-group type ... No. 166

Cell lengths 8.2497, 8.2497, 8.2497 Å; angles 20.67, 20.67, 20.67 degrees
Last column: nearest neighbours and their distance in Å.
Sites, in units of the cell vectors:
Mn (0.0000, 0.0000, 0.0000)  6 Mo 2.61
Mo (0.2518, 0.2518, 0.2518)  3 Mn 2.61, 3 Se 2.68
Mo (0.7482, 0.7482, 0.7482)  3 Mn 2.61, 3 Se 2.68
Se (0.5000, 0.5000, 0.5000)  6 Mo 2.68, 6 Se 2.96

=====

7.
Compound: MnMo2Se2
Source: the Alexandria database
Functional: PBE-GGA
Structure: optimized geometry

Calculated values
E above lowest polymorph ... 0 meV per atom
M_tot ... 3.5 Bohr magnetons per cell
Uncorrected formation energy ... 0.351 eV/atom
Fermi-level density of states ... 0.78 states/eV/atom
Space-group type ... No. 139

Cell lengths 5.7093, 5.7093, 5.7093 Å; angles 134.23, 134.23, 66.72 degrees
Last column: nearest neighbours and their distance in Å.
Sites, in units of the cell vectors:
Mn (0.0000, 0.0000, 0.0000)  8 Mo 3.26, 10 Se 3.40-3.47
Mo (0.2500, 0.7500, 0.5000)  4 Se 2.47
Mo (0.7500, 0.2500, 0.5000)  4 Se 2.47
Se (0.3640, 0.3640, 0.0000)  4 Mo 2.47, 1 Se 2.59
Se (0.6360, 0.6360, 0.0000)  4 Mo 2.47, 1 Se 2.59

=====

8.
Compound: MnMo2Se
Source: the Alexandria database
Functional: PBE-GGA
Structure: optimized geometry

Calculated values
M_tot ... 2.8 Bohr magnetons per cell
Uncorrected formation energy ... 0.369 eV/atom
Fermi-level density of states ... 0.58 states/eV/atom
Space-group type ... No. 123

Cell lengths 3.6986, 3.6986, 4.5472 Å; angles 90.00, 90.00, 90.00 degrees
Last column: nearest neighbours and their distance in Å.
Sites, in units of the cell vectors:
Mn (0.0000, 0.0000, 0.0000)  4 Se 2.62
Mo (0.0000, 0.5000, 0.5000)  4 Mo 2.62
Mo (0.5000, 0.0000, 0.5000)  4 Mo 2.62
Se (0.5000, 0.5000, 0.0000)  4 Mn 2.62

=====

Final energy (computed, eV per formula unit): -33.30 -48.67 -33.51 -33.48 -33.04 -32.96 -36.05 -32.84